{"formula": "LiPmEr2S4", "functional": "PBE", "state": "optimized geometry", "lattice": [[6.7628, 0.0000, 0.0000], [0.0000, 3.8886, 0.0000], [-2.2359, 0.0000, 6.3978]], "species": ["Li", "Pm", "Er", "Er", "S", "S", "S", "S"], "fractional_positions": [[0.0000, 0.0000, 0.0000], [0.5000, 0.5000, 0.0000], [0.0000, 0.5000, 0.5000], [0.5000, 0.0000, 0.5000], [0.2384, 0.0000, 0.7425], [0.2450, 0.5000, 0.2545], [0.7550, 0.5000, 0.7455], [0.7616, 0.0000, 0.2575]], "e_form_raw_ev_per_atom": -1.926, "crystal_system": "monoclinic"}


{"formula": "LiLaH6Pd2", "functional": "PBE", "state": "optimized geometry", "lattice": [[2.3076, 1.3323, 5.2728], [-2.3076, 1.3323, 5.2728], [0.0000, -2.6646, 5.2728]], "species": ["Li", "La", "H", "H", "H", "H", "H", "H", "Pd", "Pd"], "fractional_positions": [[0.0000, 0.0000, 0.0000], [0.5000, 0.5000, 0.5000], [0.0591, 0.0591, 0.5946], [0.0591, 0.5946, 0.0591], [0.4054, 0.9409, 0.9409], [0.5946, 0.0591, 0.0591], [0.9409, 0.4054, 0.9409], [0.9409, 0.9409, 0.4054], [0.2931, 0.2931, 0.2931], [0.7069, 0.7069, 0.7069]], "total_energy_ev_per_atom": -4.06, "crystal_system": "trigonal"}


{"formula": "Li2Pa4S9", "functional": "PBE", "state": "optimized geometry", "lattice": [[5.9001, -3.4038, 0.0000], [5.9001, 3.4038, 0.0000], [-0.0012, 0.0000, 18.4988]], "species": ["Li", "Li", "Li", "Li", "Pa", "Pa", "Pa", "Pa", "Pa", "Pa", "Pa", "Pa", "S", "S", "S", "S", "S", "S", "S", "S", "S", "S", "S", "S", "S", "S", "S", "S", "S", "S"], "fractional_positions": [[0.9997, 0.0009, 0.1607], [0.0003, 0.9991, 0.8393], [0.0009, 0.9997, 0.6607], [0.9991, 0.0003, 0.3393], [0.3335, 0.3334, 0.4837], [0.3334, 0.3335, 0.9837], [0.3328, 0.3340, 0.1809], [0.3340, 0.3328, 0.6809], [0.6660, 0.6672, 0.3191], [0.6672, 0.6660, 0.8191], [0.6666, 0.6665, 0.0163], [0.6665, 0.6666, 0.5163], [0.0008, 0.6860, 0.7502], [0.0342, 0.6387, 0.0820], [0.0347, 0.3274, 0.5822], [0.3128, 0.6872, 0.2500], [0.3140, 0.9992, 0.7498], [0.3274, 0.0347, 0.0822], [0.3275, 0.6380, 0.5822], [0.3613, 0.9658, 0.4180], [0.3620, 0.6725, 0.9178], [0.6380, 0.3275, 0.0822], [0.6387, 0.0342, 0.5820], [0.6725, 0.3620, 0.4178], [0.6726, 0.9653, 0.9178], [0.6860, 0.0008, 0.2502], [0.6872, 0.3128, 0.7500], [0.9653, 0.6726, 0.4178], [0.9658, 0.3613, 0.9180], [0.9992, 0.3140, 0.2498]], "e_form_raw_ev_per_atom": -1.499, "crystal_system": "monoclinic"}


{"formula": "EuAlAu3", "functional": "PBE", "state": "optimized geometry", "lattice": [[4.9385, 0.0000, 0.0000], [0.0000, 4.9385, 0.0000], [0.0000, 0.0000, 4.9385]], "species": ["Eu", "Al", "Au", "Au", "Au"], "fractional_positions": [[0.0000, 0.0000, 0.0000], [0.5000, 0.5000, 0.5000], [0.0000, 0.5000, 0.5000], [0.5000, 0.0000, 0.5000], [0.5000, 0.5000, 0.0000]], "ef_ev_per_fu": -2.24, "crystal_system": "cubic"}


Which formula does entry 4 have?
EuAlAu3


Please write out number 1 again, unchanged.
{"formula": "LiPmEr2S4", "functional": "PBE", "state": "optimized geometry", "lattice": [[6.7628, 0.0000, 0.0000], [0.0000, 3.8886, 0.0000], [-2.2359, 0.0000, 6.3978]], "species": ["Li", "Pm", "Er", "Er", "S", "S", "S", "S"], "fractional_positions": [[0.0000, 0.0000, 0.0000], [0.5000, 0.5000, 0.0000], [0.0000, 0.5000, 0.5000], [0.5000, 0.0000, 0.5000], [0.2384, 0.0000, 0.7425], [0.2450, 0.5000, 0.2545], [0.7550, 0.5000, 0.7455], [0.7616, 0.0000, 0.2575]], "e_form_raw_ev_per_atom": -1.926, "crystal_system": "monoclinic"}